(1)
First-principles (meta-GGA SCAN) data for a PBEsol-optimized structure of P2RuW, as listed in Alexandria.

Calculated values
SG: P4/mmm (123)
ΔE_f in eV per atom: -0.17
Total magnetic moment in μB/f.u.: 0.0
Calculated total energy in eV per atom: -31.50

a = 4.164 Å, b = 4.164 Å, c = 2.941 Å
α = 90.00°, β = 90.00°, γ = 90.00°
Atoms (fractional coordinates):
P 0.000 0.500 0.000
P 0.500 0.000 0.000
Ru 0.000 0.000 0.500
W 0.500 0.500 0.500



(2)
First-principles (meta-GGA SCAN) data for a PBEsol-optimized structure of HgMo2Ir, as listed in Alexandria.

Calculated values
SG: P4mm (99)
ΔE_f in eV per atom: 0.19
Total magnetic moment in μB/f.u.: 0.0
Calculated total energy in eV per atom: -52.07

a = 2.785 Å, b = 2.785 Å, c = 8.308 Å
α = 90.00°, β = 90.00°, γ = 90.00°
Atoms (fractional coordinates):
Hg 0.000 0.000 0.000
Mo 0.000 0.000 0.472
Mo 0.500 0.500 0.732
Ir 0.500 0.500 0.267



(3)
First-principles (meta-GGA SCAN) data for a PBEsol-optimized structure of TcBiB3, as listed in Alexandria.

Calculated values
SG: Pm-3m (221)
ΔE_f in eV per atom: 3.11
Total magnetic moment in μB/f.u.: 3.3
Calculated total energy in eV per atom: -24.08

a = 4.520 Å, b = 4.520 Å, c = 4.520 Å
α = 90.00°, β = 90.00°, γ = 90.00°
Atoms (fractional coordinates):
Tc 0.000 0.000 0.000
Bi 0.500 0.500 0.500
B 0.000 0.500 0.500
B 0.500 0.000 0.500
B 0.500 0.500 0.000



(4)
First-principles (meta-GGA SCAN) data for a PBEsol-optimized structure of Ta2AlW, as listed in Alexandria.

Calculated values
SG: P4/mmm (123)
ΔE_f in eV per atom: -0.13
Total magnetic moment in μB/f.u.: 0.0
Calculated total energy in eV per atom: -52.78

a = 4.376 Å, b = 4.376 Å, c = 3.430 Å
α = 90.00°, β = 90.00°, γ = 90.00°
Atoms (fractional coordinates):
Ta 0.000 0.500 0.000
Ta 0.500 0.000 0.000
Al 0.000 0.000 0.500
W 0.500 0.500 0.500



(5)
First-principles (meta-GGA SCAN) data for a PBEsol-optimized structure of K2OsCl6, as listed in Alexandria.

Calculated values
E_form (uncorrected) in kJ/mol of atoms: -126.5
SG: Fm-3m (225)
Total magnetic moment in μB/f.u.: 2.0
Calculated total energy in eV per atom: -16.47

a = 6.824 Å, b = 6.824 Å, c = 6.824 Å
α = 60.00°, β = 60.00°, γ = 60.00°
Atoms (fractional coordinates):
K 0.250 0.250 0.250
K 0.750 0.750 0.750
Os 0.000 0.000 0.000
Cl 0.241 0.241 0.759
Cl 0.241 0.759 0.241
Cl 0.241 0.759 0.759
Cl 0.759 0.241 0.241
Cl 0.759 0.241 0.759
Cl 0.759 0.759 0.241



(6)
First-principles (meta-GGA SCAN) data for a PBEsol-optimized structure of SrCa2Cu2, as listed in Alexandria.

Calculated values
SG: I4/mmm (139)
ΔE_f in eV per atom: 0.17
Polymorph energy (0 for the lowest one) in eV per atom: 0.197
Total magnetic moment in μB/f.u.: 0.0
Calculated total energy in eV per atom: -14.23

a = 6.574 Å, b = 6.574 Å, c = 6.574 Å
α = 133.26°, β = 133.26°, γ = 68.25°
Atoms (fractional coordinates):
Sr 0.000 0.000 0.000
Ca 0.340 0.340 0.000
Ca 0.660 0.660 0.000
Cu 0.250 0.750 0.500
Cu 0.750 0.250 0.500



(7)
First-principles (meta-GGA SCAN) data for a PBEsol-optimized structure of MgP2, as listed in Alexandria.

Calculated values
SG: C2/m (12)
ΔE_f in eV per atom: -0.19
Total magnetic moment in μB/f.u.: 0.0
Calculated total energy in eV per atom: -8.78

a = 6.512 Å, b = 6.512 Å, c = 5.652 Å
α = 97.13°, β = 97.13°, γ = 28.67°
Atoms (fractional coordinates):
Mg 0.089 0.089 0.327
Mg 0.911 0.911 0.673
P 0.313 0.313 0.965
P 0.417 0.417 0.296
P 0.583 0.583 0.704
P 0.687 0.687 0.035



(8)
First-principles (meta-GGA SCAN) data for a PBEsol-optimized structure of InCS2Cl, as listed in Alexandria.

Calculated values
E_form (uncorrected) in kJ/mol of atoms: 142.7
SG: P4/mmm (123)
Total magnetic moment in μB/f.u.: 0.0
Calculated total energy in eV per atom: -12.67

a = 5.007 Å, b = 5.007 Å, c = 4.914 Å
α = 90.00°, β = 90.00°, γ = 90.00°
Atoms (fractional coordinates):
In 0.000 0.000 0.000
C 0.500 0.500 0.500
S 0.000 0.500 0.000
S 0.500 0.000 0.000
Cl 0.000 0.000 0.500



Question: Number 5 is which compound?
Answer: K2OsCl6



Copy entry 4 word for word.
First-principles (meta-GGA SCAN) data for a PBEsol-optimized structure of Ta2AlW, as listed in Alexandria.

Calculated values
SG: P4/mmm (123)
ΔE_f in eV per atom: -0.13
Total magnetic moment in μB/f.u.: 0.0
Calculated total energy in eV per atom: -52.78

a = 4.376 Å, b = 4.376 Å, c = 3.430 Å
α = 90.00°, β = 90.00°, γ = 90.00°
Atoms (fractional coordinates):
Ta 0.000 0.500 0.000
Ta 0.500 0.000 0.000
Al 0.000 0.000 0.500
W 0.500 0.500 0.500



Question: Among the records above, which one has the lowest calculated total energy?
Answer: Ta2AlW